VASP calculation (PBE) on crystalline Y2TmCu4Si4 at its relaxed geometry.

Output
- symmetry = Immm (71)
- calculated density (Mg/m³) = 6.473
- electronic total energy (eV per atom) = -5.54
- crystal system = orthorhombic
- V (Å³/cell) = 183

Cell lengths 7.831, 7.831, 7.831 Å; angles 149.47, 130.87, 58.95 degrees
Fractional positions:
Y (0.129, 0.129, 0.000)
Y (0.871, 0.871, 0.000)
Tm (0.500, 0.000, 0.500)
Cu (0.141, 0.331, 0.810)
Cu (0.479, 0.669, 0.810)
Cu (0.521, 0.331, 0.190)
Cu (0.859, 0.669, 0.190)
Si (0.187, 0.500, 0.687)
Si (0.284, 0.784, 0.500)
Si (0.716, 0.216, 0.500)
Si (0.813, 0.500, 0.313)